# ErTl2Br5 GGA-PBE optimized geometry
# - V (A^3/atom) = 37.8
# - crystal system = monoclinic
# - total DFT energy (no corrections) (eV per atom) = -3.577
# - relative energy among the computed polymorphs (kJ per mole of atoms) = 0.0
# - formation energy from raw total energies (eV per atom) = -1.369
data_ErTl2Br5
_chemical_formula_sum 'Er4 Tl8 Br20'
_space_group_name_H-M_alt 'C 1 c 1'
_space_group_IT_number 9
_space_group_name_Hall 'C -2yc'
_cell_length_a 17.2908
_cell_length_b 7.9508
_cell_length_c 10.4532
_cell_angle_alpha 90.00
_cell_angle_beta 122.57
_cell_angle_gamma 90.00
loop_
_atom_site_label
_atom_site_type_symbol
_atom_site_fract_x
_atom_site_fract_y
_atom_site_fract_z
Er1 Er 0.0000 0.0008 0.0000
Tl1 Tl 0.1555 0.4732 0.9967
Tl2 Tl 0.3436 0.0299 0.0027
Br1 Br 0.9999 0.1464 0.2503
Br2 Br 0.0555 0.3090 0.6383
Br3 Br 0.1820 0.0954 0.1296
Br4 Br 0.3178 0.4070 0.8703
Br5 Br 0.4446 0.1887 0.3628

---

# ErTl2Br5 GGA-PBE optimized geometry
# - V (A^3/atom) = 48.6
# - crystal system = monoclinic
# - total DFT energy (no corrections) (eV per atom) = -3.532
# - relative energy among the computed polymorphs (kJ per mole of atoms) = 4.4
# - formation energy from raw total energies (eV per atom) = -1.324
data_ErTl2Br5
_chemical_formula_sum 'Er2 Tl4 Br10'
_space_group_name_H-M_alt 'C 1 m 1'
_space_group_IT_number 8
_space_group_name_Hall 'C -2y'
_cell_length_a 14.3848
_cell_length_b 8.0730
_cell_length_c 8.0392
_cell_angle_alpha 90.00
_cell_angle_beta 123.69
_cell_angle_gamma 90.00
loop_
_atom_site_label
_atom_site_type_symbol
_atom_site_fract_x
_atom_site_fract_y
_atom_site_fract_z
Er1 Er 0.0000 0.0000 0.0000
Tl1 Tl 0.1844 0.5000 0.2371
Tl2 Tl 0.1900 0.0000 0.6920
Br1 Br 0.0355 0.2305 0.2830
Br2 Br 0.0776 0.2341 0.8585
Br3 Br 0.2825 0.5000 0.7392

---

Question: Among the records above, which one has the lowest formation energy from raw total energies?
Answer: number 1